Compound: Ni3SN
Source: the Alexandria database
Functional: PBE-GGA
Structure: optimized geometry

a b c (Å): 4.096 4.096 4.096
angles (deg): 90.00 90.00 90.00
Space group Pm-3m (No. 221)
Symmetry-distinct sites (fractional):
Ni1 0.000 0.000 0.500
S1 0.000 0.000 0.000
N1 0.500 0.500 0.500

ΔE to the lowest computed polymorph = 0.945 eV/atom
Calculated density = 5.37 g/cm3